(1)
A plane-wave DFT calculation with GGA-PBE was carried out for a relaxed structure of NaLiN2.

a = 3.4997 Å, b = 3.4997 Å, c = 12.8333 Å
α = 90.00°, β = 90.00°, γ = 120.00°
Space group R-3m (No. 166, hexagonal axes)
Unique sites:
Na  0.0000  0.0000  0.0000 [3 per cell]
Li  0.0000  0.0000  0.5000 [3 per cell]
N  0.0000  0.0000  0.1879 [6 per cell]

M_tot (μB per cell): 0.00
E_form (uncorrected) (eV per atom): 0.864
VASP energy (eV/atom): -4.107

***

(2)
A plane-wave DFT calculation with GGA-PBE was carried out for a relaxed structure of PmNdErSc.

a = 7.928 Å, b = 7.928 Å, c = 7.928 Å
α = 90.00°, β = 90.00°, γ = 90.00°
Space group F-43m (No. 216)
Unique sites:
Pm  0.000  0.000  0.000 [4 per cell]
Nd  0.000  0.000  0.500 [4 per cell]
Er  0.250  0.250  0.750 [4 per cell]
Sc  0.250  0.250  0.250 [4 per cell]

M_tot (μB per cell): 0.02
VASP energy (eV/atom): -5.007
ΔH_f (0 K) (eV/atom): 0.096

***

(3)
A plane-wave DFT calculation with GGA-PBE was carried out for a relaxed structure of Ga2IrRu2.

a = 7.078 Å, b = 7.078 Å, c = 2.931 Å
α = 90.00°, β = 90.00°, γ = 90.00°
Space group P4/mbm (No. 127)
Unique sites:
Ga  0.132  0.368  0.000 [4 per cell]
Ir  0.000  0.000  0.000 [2 per cell]
Ru  0.169  0.669  0.500 [4 per cell]

M_tot (μB per cell): 0.00
VASP energy (eV/atom): -6.706
ΔH_f (0 K) (eV/atom): -0.013

***

(4)
A plane-wave DFT calculation with GGA-PBE was carried out for a relaxed structure of TbCe2Ge2Pd2.

a = 4.3937 Å, b = 4.3937 Å, c = 26.5391 Å
α = 90.00°, β = 90.00°, γ = 120.00°
Space group R-3m (No. 166, hexagonal axes)
Unique sites:
Tb  0.0000  0.0000  0.0000 [3 per cell]
Ce  0.0000  0.0000  0.1385 [6 per cell]
Ge  0.0000  0.0000  0.2617 [6 per cell]
Pd  0.0000  0.0000  0.4047 [6 per cell]

M_tot (μB per cell): 3.64
VASP energy (eV/atom): -5.939
ΔH_f (0 K) (eV/atom): -0.779

***

(5)
A plane-wave DFT calculation with GGA-PBE was carried out for a relaxed structure of Tb4Zn3Rh.

a = 3.562 Å, b = 3.562 Å, c = 14.090 Å
α = 90.00°, β = 90.00°, γ = 90.00°
Space group P4/mmm (No. 123)
Unique sites:
Tb  0.000  0.000  0.115 [2 per cell]
Tb  0.000  0.000  0.373 [2 per cell]
Zn  0.500  0.500  0.247 [2 per cell]
Zn  0.500  0.500  0.500 [1 per cell]
Rh  0.500  0.500  0.000 [1 per cell]

M_tot (μB per cell): 0.00
VASP energy (eV/atom): -4.186
ΔH_f (0 K) (eV/atom): -0.474

***

(6)
A plane-wave DFT calculation with GGA-PBE was carried out for a relaxed structure of Zr2CuRu2.

a = 7.215 Å, b = 7.215 Å, c = 3.414 Å
α = 90.00°, β = 90.00°, γ = 90.00°
Space group P4/mbm (No. 127)
Unique sites:
Zr  0.164  0.336  0.000 [4 per cell]
Cu  0.000  0.000  0.500 [2 per cell]
Ru  0.139  0.639  0.500 [4 per cell]

M_tot (μB per cell): 0.00
VASP energy (eV/atom): -8.163
ΔH_f (0 K) (eV/atom): -0.214

***

(7)
A plane-wave DFT calculation with GGA-PBE was carried out for a relaxed structure of CeNdDy2.

a = 3.4629 Å, b = 3.4629 Å, c = 36.8968 Å
α = 90.00°, β = 90.00°, γ = 120.00°
Space group R-3m (No. 166, hexagonal axes)
Unique sites:
Ce  0.0000  0.0000  0.0000 [3 per cell]
Nd  0.0000  0.0000  0.5000 [3 per cell]
Dy  0.0000  0.0000  0.4082 [6 per cell]

M_tot (μB per cell): 0.37
VASP energy (eV/atom): -4.802
ΔH_f (0 K) (eV/atom): 0.174

***

(8)
A plane-wave DFT calculation with GGA-PBE was carried out for a relaxed structure of TbSm2NpSb4.

a = 7.681 Å, b = 4.432 Å, c = 7.686 Å
α = 90.00°, β = 109.31°, γ = 90.00°
Space group P2/m (No. 10)
Unique sites:
Tb  0.000  0.000  0.000 [1 per cell]
Sm  0.000  0.500  0.500 [1 per cell]
Sm  0.500  0.000  0.500 [1 per cell]
Np  0.500  0.500  0.000 [1 per cell]
Sb  0.249  0.500  0.245 [2 per cell]
Sb  0.252  0.000  0.755 [2 per cell]

M_tot (μB per cell): 3.89
E_form (uncorrected) (eV per atom): -0.917
VASP energy (eV/atom): -6.354